Entry P
Here is crystalline BeSi2Rh at its relaxed geometry from Alexandria via LeMat-Bulk. Energies are from PBE.

Properties
Its theoretical density is 5.28 Mg/m³. Its total magnetization is 0.00 μB per atom.

a = 2.808 Å, b = 4.870 Å, c = 7.730 Å
α = 90.00°, β = 90.00°, γ = 90.00°
Space group Cmmm (No. 65)
Symmetry-distinct sites (fractional):
Be 0.000 0.000 0.000 (multiplicity 2)
Si 0.000 0.500 0.242 (multiplicity 4)
Rh 0.000 0.000 0.500 (multiplicity 2)


Entry Q
Here is crystalline BeSi2Rh at its relaxed geometry from Alexandria via LeMat-Bulk. Energies are from PBE.

Properties
Its theoretical density is 5.57 Mg/m³. Its total magnetization is 0.00 μB per atom.

a = 5.854 Å, b = 5.854 Å, c = 5.854 Å
α = 90.00°, β = 90.00°, γ = 90.00°
Space group F-43m (No. 216)
Symmetry-distinct sites (fractional):
Be 0.000 0.000 0.000 (multiplicity 4)
Si 0.000 0.000 0.500 (multiplicity 4)
Si 0.250 0.250 0.750 (multiplicity 4)
Rh 0.250 0.250 0.250 (multiplicity 4)


Order of stability, best first: entry Q, entry P


Entry P
Here is crystalline BeSi2Rh at its relaxed geometry from Alexandria via LeMat-Bulk. Energies are from PBE.

Properties
Its theoretical density is 5.41 Mg/m³. Its total magnetization is 0.00 μB per atom.

a = 2.8899 Å, b = 2.8899 Å, c = 21.3919 Å
α = 90.00°, β = 90.00°, γ = 120.00°
Space group R3m (No. 160, hexagonal axes)
Symmetry-distinct sites (fractional):
Be 0.0000 0.0000 0.0000 (multiplicity 3)
Si 0.0000 0.0000 0.5004 (multiplicity 3)
Si 0.0000 0.0000 0.7466 (multiplicity 3)
Rh 0.0000 0.0000 0.2513 (multiplicity 3)


Entry Q
Here is crystalline BeSi2Rh at its relaxed geometry from Alexandria via LeMat-Bulk. Energies are from PBE.

Properties
Its theoretical density is 5.63 Mg/m³. Its total magnetization is 0.00 μB per atom.

a = 3.192 Å, b = 3.192 Å, c = 4.867 Å
α = 90.00°, β = 90.00°, γ = 90.00°
Space group P4mm (No. 99)
Symmetry-distinct sites (fractional):
Be 0.000 0.000 0.000 (multiplicity 1)
Si 0.000 0.000 0.518 (multiplicity 1)
Si 0.500 0.500 0.781 (multiplicity 1)
Rh 0.500 0.500 0.271 (multiplicity 1)


Entry R
Here is crystalline BeSi2Rh at its relaxed geometry from Alexandria via LeMat-Bulk. Energies are from PBE.

Properties
Its theoretical density is 5.22 Mg/m³. Its total magnetization is 0.00 μB per atom.

a = 2.913 Å, b = 4.283 Å, c = 4.526 Å
α = 90.00°, β = 108.67°, γ = 90.00°
Space group Pm (No. 6)
Symmetry-distinct sites (fractional):
Be 0.000 0.000 0.000 (multiplicity 1)
Si 0.278 0.000 0.556 (multiplicity 1)
Si 0.428 0.500 0.853 (multiplicity 1)
Rh 0.140 0.500 0.280 (multiplicity 1)


Entry S
Here is crystalline BeSi2Rh at its relaxed geometry from Alexandria via LeMat-Bulk. Energies are from PBE.

Properties
Its theoretical density is 5.61 Mg/m³. Its total magnetization is 0.00 μB per atom.

a = 8.257 Å, b = 2.848 Å, c = 4.242 Å
α = 90.00°, β = 94.51°, γ = 90.00°
Space group Cm (No. 8)
Symmetry-distinct sites (fractional):
Be 0.000 0.000 0.000 (multiplicity 2)
Si 0.237 0.000 0.757 (multiplicity 2)
Si 0.481 0.000 0.485 (multiplicity 2)
Rh 0.242 0.500 0.239 (multiplicity 2)


Order of stability, best first: entry R, entry S, entry Q, entry P